A plane-wave DFT calculation with GGA-PBEsol was carried out for an optimized crystal structure of Na2TmPWO8.

The structure belongs to space group Ibca (No. 73); the cell edges are 6.783, 11.944 and 18.024 Å and the angles 90.00°, 90.00° and 90.00°. The asymmetric unit holds Na at (0.006, 0.057, 0.154), Tm at (0.250, 0.179, 0.500), P at (0.250, 0.067, 0.000), W at (0.000, 0.250, 0.324), O at (0.040, 0.128, 0.770), O at (0.072, 0.149, 0.006), O at (0.216, 0.227, 0.381) and O at (0.242, 0.010, 0.568).

The raw formation energy is -2.56 eV/atom.